*one*
First-principles (PBE) data for crystalline RbCaH2Cl at its relaxed geometry, as listed in Alexandria via LeMat-Bulk.

The space group is P4/mmm (No. 123) and the conventional cell measures 4.595, 4.595 and 5.501 Å, with angles of 90.00, 90.00 and 90.00 degrees. The inequivalent atoms are Rb at (0.000, 0.000, 0.000), Ca at (0.500, 0.500, 0.500), H at (0.000, 0.500, 0.500) and Cl at (0.500, 0.500, 0.000).



*two*
First-principles (PBE) data for crystalline RbCaH2Cl at its relaxed geometry, as listed in Alexandria via LeMat-Bulk.

The space group is P4/mmm (No. 123) and the conventional cell measures 4.592, 4.592 and 8.091 Å, with angles of 90.00, 90.00 and 90.00 degrees. The inequivalent atoms are Rb at (0.000, 0.000, 0.000), Ca at (0.000, 0.000, 0.500), H at (0.000, 0.500, 0.000) and Cl at (0.500, 0.500, 0.500).



It comes down to *one*, which is 110.0 kJ/mol of atoms more stable than the next structure.



*one*
First-principles (PBE) data for crystalline CaHSCl2 at its relaxed geometry, as listed in Alexandria via LeMat-Bulk.

The space group is P4/mmm (No. 123) and the conventional cell measures 5.041, 5.041 and 3.553 Å, with angles of 90.00, 90.00 and 90.00 degrees. The inequivalent atoms are Ca at (0.000, 0.000, 0.000), H at (0.500, 0.500, 0.500), S at (0.500, 0.500, 0.000) and Cl at (0.000, 0.500, 0.500).



*two*
First-principles (PBE) data for crystalline CaHSCl2 at its relaxed geometry, as listed in Alexandria via LeMat-Bulk.

The space group is P4/mmm (No. 123) and the conventional cell measures 5.368, 5.368 and 5.811 Å, with angles of 90.00, 90.00 and 90.00 degrees. The inequivalent atoms are Ca at (0.000, 0.000, 0.000), H at (0.500, 0.500, 0.500), S at (0.000, 0.000, 0.500) and Cl at (0.000, 0.500, 0.000).



It comes down to *one*, which is 30.7 kJ/mol of atoms more stable than the next structure.



*one*
First-principles (PBE) data for crystalline CaHS2Cl at its relaxed geometry, as listed in Alexandria via LeMat-Bulk.

The space group is P4/mmm (No. 123) and the conventional cell measures 5.637, 5.637 and 5.344 Å, with angles of 90.00, 90.00 and 90.00 degrees. The inequivalent atoms are Ca at (0.000, 0.000, 0.000), H at (0.500, 0.500, 0.500), S at (0.000, 0.500, 0.000) and Cl at (0.000, 0.000, 0.500).



*two*
First-principles (PBE) data for crystalline CaHS2Cl at its relaxed geometry, as listed in Alexandria via LeMat-Bulk.

The space group is P4/mmm (No. 123) and the conventional cell measures 3.892, 3.892 and 5.627 Å, with angles of 90.00, 90.00 and 90.00 degrees. The inequivalent atoms are Ca at (0.000, 0.000, 0.000), H at (0.500, 0.500, 0.500), S at (0.000, 0.500, 0.500) and Cl at (0.500, 0.500, 0.000).



It comes down to *two*, which is 72.7 kJ/mol of atoms more stable than the next structure.



*one*
First-principles (PBE) data for crystalline Ca3HfCl at its relaxed geometry, as listed in Alexandria via LeMat-Bulk.

The space group is Pm-3m (No. 221) and the conventional cell measures 6.150, 6.150 and 6.150 Å, with angles of 90.00, 90.00 and 90.00 degrees. The inequivalent atoms are Ca at (0.000, 0.000, 0.500), Hf at (0.000, 0.000, 0.000) and Cl at (0.500, 0.500, 0.500).



*two*
First-principles (PBE) data for crystalline Ca3HfCl at its relaxed geometry, as listed in Alexandria via LeMat-Bulk.

The space group is Pm-3m (No. 221) and the conventional cell measures 5.409, 5.409 and 5.409 Å, with angles of 90.00, 90.00 and 90.00 degrees. The inequivalent atoms are Ca at (0.000, 0.000, 0.500), Hf at (0.500, 0.500, 0.500) and Cl at (0.000, 0.000, 0.000).



It comes down to *two*, which is 70.2 kJ/mol of atoms more stable than the next structure.



*one*
First-principles (PBE) data for crystalline Ca2HfCl at its relaxed geometry, as listed in Alexandria via LeMat-Bulk.

The space group is Fm-3m (No. 225) and the conventional cell measures 7.924, 7.924 and 7.924 Å, with angles of 90.00, 90.00 and 90.00 degrees. The inequivalent atoms are Ca at (0.250, 0.250, 0.250), Hf at (0.000, 0.000, 0.000) and Cl at (0.000, 0.000, 0.500).



*two*
First-principles (PBE) data for crystalline Ca2HfCl at its relaxed geometry, as listed in Alexandria via LeMat-Bulk.

The space group is I-42d (No. 122) and the conventional cell measures 8.355, 8.355 and 6.874 Å, with angles of 90.00, 90.00 and 90.00 degrees. The inequivalent atoms are Ca at (0.184, 0.250, 0.125), Hf at (0.000, 0.000, 0.500) and Cl at (0.000, 0.000, 0.000).



It comes down to *two*, which is 30.1 kJ/mol of atoms more stable than the next structure.



*one*
First-principles (PBE) data for crystalline CaHfCl6 at its relaxed geometry, as listed in Alexandria via LeMat-Bulk.

The space group is C2/m (No. 12) and the conventional cell measures 6.542, 12.528 and 6.509 Å, with angles of 90.00, 106.28 and 90.00 degrees. The inequivalent atoms are Ca at (0.000, 0.000, 0.000), Hf at (0.000, 0.500, 0.500), Cl at (0.223, 0.362, 0.728) and Cl at (0.238, 0.500, 0.268).



*two*
First-principles (PBE) data for crystalline CaHfCl6 at its relaxed geometry, as listed in Alexandria via LeMat-Bulk.

The space group is R-3 (No. 148, hexagonal axes) and the conventional cell measures 6.6445, 6.6445 and 17.9632 Å, with angles of 90.00, 90.00 and 120.00 degrees. The inequivalent atoms are Ca at (0.0000, 0.0000, 0.0000), Hf at (0.0000, 0.0000, 0.5000) and Cl at (0.0076, 0.7003, 0.5787).



It comes down to *one*, which is 0.9 kJ/mol of atoms more stable than the next structure.